Compound: Mg2Si
Source: Alexandria
Functional: PBE
Structure: optimized geometry

Structure (CIF):
```
data_Mg2Si
_symmetry_space_group_name_H-M 'P 1'
_symmetry_Int_Tables_number 1
_cell_length_a 5.9170
_cell_length_b 5.9379
_cell_length_c 7.9480
_cell_angle_alpha 74.21
_cell_angle_beta 89.72
_cell_angle_gamma 60.37
loop_
_symmetry_equiv_pos_as_xyz
'x,y,z'
loop_
_atom_site_label
_atom_site_fract_x
_atom_site_fract_y
_atom_site_fract_z
_atom_site_occupancy
Mg1 0.0000 0.0000 0.0000 1
Mg2 0.0140 0.4672 0.0972 1
Mg3 0.0638 0.3758 0.7008 1
Mg4 0.3108 0.8824 0.3682 1
Mg5 0.5119 0.4774 0.0785 1
Mg6 0.5462 0.3917 0.7143 1
Mg7 0.5761 0.8673 0.7294 1
Mg8 0.8241 0.8425 0.3591 1
Si1 0.0499 0.8985 0.6759 1
Si2 0.3616 0.3435 0.4121 1
Si3 0.4872 0.0158 0.0318 1
Si4 0.7991 0.3251 0.4101 1
```

* uncorrected formation energy: 0.10 eV/f.u.
* final energy: -2.836 eV/atom


Compound: Ca2Ga5Au
Source: Alexandria
Functional: PBE
Structure: optimized geometry

Structure (CIF):
```
data_Ca2Ga5Au
_symmetry_space_group_name_H-M 'C m c m'
_symmetry_Int_Tables_number 63
_symmetry_space_group_name_Hall '-C 2c 2'
_cell_length_a 4.2685
_cell_length_b 16.9142
_cell_length_c 9.3328
_cell_angle_alpha 90.00
_cell_angle_beta 90.00
_cell_angle_gamma 90.00
loop_
_atom_site_label
_atom_site_fract_x
_atom_site_fract_y
_atom_site_fract_z
_atom_site_occupancy
Ca1 0.0000 0.0000 0.0000 1
Ca2 0.0000 0.1948 0.2500 1
Ga1 0.0000 0.1940 0.6061 1
Ga2 0.0000 0.3537 0.5273 1
Ga3 0.0000 0.4005 0.2500 1
Au1 0.0000 0.4482 0.7500 1
```

* ΔE to the lowest computed polymorph: 0.0 meV per atom
* formation enthalpy at 0 K: -0.50 eV per atom
* final energy: -3.302 eV/atom